# 1
The following is a PBE-GGA calculation of a geometry-optimized Cs4BaNp3O12 structure, from Alexandria.

```
Cs4BaNp3O12
1.0
-4.521 4.521 4.521
4.521 -4.521 4.521
4.521 4.521 -4.521
Cs Ba Np O
4 1 3 12
direct
0.000 0.000 0.500 Cs
0.000 0.500 0.000 Cs
0.500 0.000 0.000 Cs
0.500 0.500 0.500 Cs
0.000 0.000 0.000 Ba
0.000 0.500 0.500 Np
0.500 0.000 0.500 Np
0.500 0.500 0.000 Np
0.000 0.289 0.289 O
0.000 0.711 0.711 O
0.250 0.500 0.750 O
0.250 0.750 0.500 O
0.289 0.000 0.289 O
0.289 0.289 0.000 O
0.500 0.250 0.750 O
0.500 0.750 0.250 O
0.711 0.000 0.711 O
0.711 0.711 0.000 O
0.750 0.250 0.500 O
0.750 0.500 0.250 O
```

## Properties
Total magnetization ... 3.00 μB per cell
Raw formation energy ... -2553 meV per atom
DFT total energy ... -7.74 eV/atom

=====

# 2
The following is a PBE-GGA calculation of a geometry-optimized Cs2BaNp3O12 structure, from Alexandria.

```
Cs2BaNp3O12
1.0
4.086 2.359 6.112
-4.086 2.359 6.112
0.000 -4.718 6.112
Cs Ba Np O
2 1 3 12
direct
0.111 0.111 0.111 Cs
0.889 0.889 0.889 Cs
0.500 0.500 0.500 Ba
0.000 0.500 0.500 Np
0.500 0.000 0.500 Np
0.500 0.500 0.000 Np
0.074 0.616 0.616 O
0.224 0.224 0.594 O
0.224 0.594 0.224 O
0.384 0.384 0.926 O
0.384 0.926 0.384 O
0.406 0.776 0.776 O
0.594 0.224 0.224 O
0.616 0.074 0.616 O
0.616 0.616 0.074 O
0.776 0.406 0.776 O
0.776 0.776 0.406 O
0.926 0.384 0.384 O
```

## Properties
Total magnetization ... 1.01 μB per cell
Raw formation energy ... -2647 meV per atom
DFT total energy ... -8.31 eV/atom

=====

# 3
The following is a PBE-GGA calculation of a geometry-optimized Cs2BaNpO6 structure, from Alexandria.

```
Cs2BaNpO6
1.0
0.000 4.685 4.685
4.685 0.000 4.685
4.685 4.685 0.000
Cs Ba Np O
2 1 1 6
direct
0.250 0.250 0.250 Cs
0.750 0.750 0.750 Cs
0.000 0.000 0.000 Ba
0.500 0.500 0.500 Np
0.286 0.286 0.714 O
0.286 0.714 0.286 O
0.286 0.714 0.714 O
0.714 0.286 0.286 O
0.714 0.286 0.714 O
0.714 0.714 0.286 O
```

## Properties
Total magnetization ... 1.03 μB per cell
Raw formation energy ... -2270 meV per atom
DFT total energy ... -6.90 eV/atom

=====

> Look up the raw formation energy of the third one.

-2270 meV per atom

=====

> raw formation energy of number 1 (Cs4BaNp3O12)?

-2553 meV per atom